# KCr

A relaxed structure of KCr (PBE-GGA, Alexandria via LeMat-Bulk).

a b c (Å): 8.1685 8.1685 8.1685
angles (deg): 90.00 90.00 90.00
Closest atoms and distances in Å follow each position.
Positions (direct):
K 0.2500 0.2500 0.2500  4 Cr 3.54
K 0.2500 0.7500 0.7500  4 Cr 3.54
K 0.7500 0.2500 0.7500  4 Cr 3.54
K 0.7500 0.7500 0.2500  4 Cr 3.54
Cr 0.0000 0.0000 0.0000  4 K 3.54
Cr 0.0000 0.5000 0.5000  4 K 3.54
Cr 0.5000 0.0000 0.5000  4 K 3.54
Cr 0.5000 0.5000 0.0000  4 K 3.54

Calculated values
Crystal system = cubic
ρ = 1.1 g cm⁻³
Electronic total energy = -3.7459 eV per atom
ΔE_f = 3.2 eV per formula unit